# SrCrSe2 PBE relaxed
data_SrCrSe2
_cell_length_a 4.162
_cell_length_b 4.162
_cell_length_c 6.025
_cell_angle_alpha 90.00
_cell_angle_beta 90.00
_cell_angle_gamma 90.00
_symmetry_space_group_name_H-M 'P 4 m m'
_symmetry_Int_Tables_number 99
_symmetry_space_group_name_Hall 'P 4 -2'
loop_
_atom_site_label
_atom_site_fract_x
_atom_site_fract_y
_atom_site_fract_z
Sr1 0.000 0.000 0.000
Cr1 0.500 0.500 0.522
Se1 0.000 0.000 0.497
Se2 0.500 0.500 0.958
# Raw formation energy in eV/atom: -0.95
# Final energy in eV per atom: -5.521
# Energy relative to the lowest polymorph listed for this composition in meV/atom: 91